No. 1
Compound: GdPu2Sc
Source: Alexandria
Functional: PBE
Structure: relaxed

Properties
Spin magnetization = 19.47 μB per formula unit
Energy of formation from the pure elements = 0.7 eV/f.u.
Relative energy among the computed polymorphs = 0 meV/atom
Crystal system = tetragonal

a = 4.977 Å, b = 4.680 Å, c = 4.680 Å
α = 90.00°, β = 90.00°, γ = 90.00°
Element x y z (fractional)
1 Pu 0.000 0.500 0.000
2 Pu 0.000 0.000 0.500
3 Gd 0.500 0.000 0.000
4 Sc 0.500 0.500 0.500

---

No. 2
Compound: PaV4Os
Source: Alexandria
Functional: PBE
Structure: relaxed

Properties
Spin magnetization = 0.00 μB per formula unit
Energy of formation from the pure elements = 0.6 eV/f.u.
Crystal system = cubic

a = 5.085 Å, b = 5.085 Å, c = 5.085 Å
α = 60.00°, β = 60.00°, γ = 60.00°
Element x y z (fractional)
1 V 0.626 0.626 0.626
2 V 0.626 0.123 0.626
3 V 0.123 0.626 0.626
4 V 0.626 0.626 0.123
5 Os 0.250 0.250 0.250
6 Pa 0.000 0.000 0.000

---

No. 3
Compound: MoAu2Br
Source: Alexandria
Functional: PBE
Structure: relaxed

Properties
Formation energy (no corrections) = 440 meV/atom
Spin magnetization = 0.06 μB per formula unit
Relative energy among the computed polymorphs = 218 meV/atom
Crystal system = orthorhombic

a = 2.975 Å, b = 2.975 Å, c = 10.276 Å
α = 90.00°, β = 90.00°, γ = 117.71°
Element x y z (fractional)
1 Au 0.000 0.000 0.980
2 Au 0.500 0.500 0.218
3 Mo 0.500 0.500 0.752
4 Br 0.000 0.000 0.550

---

No. 4
Compound: LaZn5
Source: Alexandria
Functional: PBE
Structure: relaxed

Properties
Spin magnetization = 0.00 μB per formula unit
Energy of formation from the pure elements = -1.8 eV/f.u.
Relative energy among the computed polymorphs = 0 meV/atom
Crystal system = hexagonal

a = 5.466 Å, b = 5.467 Å, c = 4.268 Å
α = 90.00°, β = 90.00°, γ = 120.00°
Element x y z (fractional)
1 Zn 0.500 0.000 0.500
2 Zn 0.500 0.500 0.500
3 Zn 0.000 0.500 0.500
4 Zn 0.333 0.667 0.000
5 Zn 0.667 0.333 0.000
6 La 0.000 0.000 0.000

---

No. 5
Compound: Li8SiAg2
Source: Alexandria
Functional: PBE
Structure: relaxed

Properties
Formation energy (no corrections) = -99 meV/atom
Spin magnetization = 0.00 μB per formula unit
Relative energy among the computed polymorphs = 40 meV/atom
Crystal system = monoclinic

a = 4.543 Å, b = 7.376 Å, c = 7.185 Å
α = 59.12°, β = 79.64°, γ = 69.50°
Element x y z (fractional)
1 Li 0.101 0.708 0.213
2 Li 0.101 0.921 0.787
3 Li 0.321 0.367 0.000
4 Li 0.899 0.292 0.787
5 Li 0.899 0.079 0.213
6 Li 0.500 0.790 0.420
7 Li 0.500 0.210 0.580
8 Li 0.679 0.633 0.000
9 Si 0.500 0.000 0.000
10 Ag 0.000 0.685 0.631
11 Ag 0.000 0.315 0.369

---

No. 6
Compound: RbCoSeN2
Source: Alexandria
Functional: PBE
Structure: relaxed

Properties
Formation energy (no corrections) = 1060 meV/atom
Spin magnetization = 4.92 μB per formula unit
Relative energy among the computed polymorphs = 0 meV/atom
Crystal system = tetragonal

a = 4.164 Å, b = 4.164 Å, c = 4.878 Å
α = 90.00°, β = 90.00°, γ = 90.00°
Element x y z (fractional)
1 N 0.000 0.500 0.000
2 N 0.500 0.000 0.000
3 Se 0.000 0.000 0.500
4 Rb 0.500 0.500 0.500
5 Co 0.000 0.000 0.000

---

No. 7
Compound: Tm2Si2Rh5
Source: Alexandria
Functional: PBE
Structure: relaxed

Properties
Formation energy (no corrections) = -918 meV/atom
Spin magnetization = 0.00 μB per formula unit
Crystal system = tetragonal

a = 4.114 Å, b = 4.114 Å, c = 8.704 Å
α = 90.00°, β = 90.00°, γ = 90.00°
Element x y z (fractional)
1 Rh 0.500 0.500 0.500
2 Rh 0.500 0.000 0.735
3 Rh 0.000 0.500 0.735
4 Rh 0.500 0.000 0.265
5 Rh 0.000 0.500 0.265
6 Si 0.500 0.500 0.862
7 Si 0.500 0.500 0.138
8 Tm 0.000 0.000 0.500
9 Tm 0.000 0.000 0.000

---

No. 8
Compound: NaPmCd17
Source: Alexandria
Functional: PBE
Structure: relaxed

Properties
Spin magnetization = 0.00 μB per formula unit
Energy of formation from the pure elements = -1.7 eV/f.u.
Crystal system = trigonal

a = 7.724 Å, b = 7.724 Å, c = 7.724 Å
α = 82.13°, β = 82.13°, γ = 82.13°
Element x y z (fractional)
1 Cd 0.014 0.484 0.014
2 Cd 0.000 0.302 0.698
3 Cd 0.896 0.896 0.896
4 Cd 0.302 0.000 0.698
5 Cd 0.095 0.095 0.095
6 Cd 0.807 0.371 0.371
7 Cd 0.371 0.371 0.807
8 Cd 0.133 0.653 0.653
9 Cd 0.698 0.000 0.302
10 Cd 0.698 0.302 0.000
11 Cd 0.371 0.807 0.371
12 Cd 0.653 0.653 0.133
13 Cd 0.000 0.698 0.302
14 Cd 0.653 0.133 0.653
15 Cd 0.014 0.014 0.484
16 Cd 0.302 0.698 0.000
17 Cd 0.484 0.014 0.014
18 Na 0.341 0.341 0.341
19 Pm 0.670 0.670 0.670

---

No. 9
Compound: ZrSc2Ni
Source: Alexandria
Functional: PBE
Structure: relaxed

Properties
Spin magnetization = 2.58 μB per formula unit
Energy of formation from the pure elements = 0.3 eV/f.u.
Relative energy among the computed polymorphs = 334 meV/atom
Crystal system = cubic

a = 4.802 Å, b = 4.802 Å, c = 4.802 Å
α = 60.00°, β = 60.00°, γ = 60.00°
Element x y z (fractional)
1 Sc 0.250 0.250 0.250
2 Sc 0.750 0.750 0.750
3 Zr 0.500 0.500 0.500
4 Ni 0.000 0.000 0.000

---

No. 10
Compound: CdFe4W
Source: Alexandria
Functional: PBE
Structure: relaxed

Properties
Spin magnetization = 6.62 μB per formula unit
Energy of formation from the pure elements = 1.1 eV/f.u.
Crystal system = cubic

a = 4.811 Å, b = 4.811 Å, c = 4.811 Å
α = 60.00°, β = 60.00°, γ = 60.00°
Element x y z (fractional)
1 Fe 0.376 0.873 0.376
2 Fe 0.873 0.376 0.376
3 Fe 0.376 0.376 0.873
4 Fe 0.376 0.376 0.376
5 W 0.750 0.750 0.750
6 Cd 0.000 0.000 0.000

---

No. 11
Compound: LiZn2As
Source: Alexandria
Functional: PBE
Structure: relaxed

Properties
Spin magnetization = 0.00 μB per formula unit
Energy of formation from the pure elements = 0.0 eV/f.u.
Crystal system = tetragonal

a = 2.831 Å, b = 2.831 Å, c = 8.328 Å
α = 90.00°, β = 90.00°, γ = 90.00°
Element x y z (fractional)
1 Zn 0.000 0.000 0.517
2 Zn 0.000 0.000 0.983
3 As 0.500 0.500 0.250
4 Li 0.500 0.500 0.750

---

No. 12
Compound: PrSm3Pu2S6
Source: Alexandria
Functional: PBE
Structure: relaxed

Properties
Formation energy (no corrections) = -1954 meV/atom
Spin magnetization = 11.32 μB per formula unit
Crystal system = monoclinic

a = 6.936 Å, b = 6.936 Å, c = 6.955 Å
α = 99.55°, β = 99.55°, γ = 120.01°
Element x y z (fractional)
1 S 0.576 0.917 0.750
2 S 0.259 0.259 0.752
3 S 0.741 0.741 0.248
4 S 0.083 0.424 0.250
5 S 0.424 0.083 0.250
6 S 0.917 0.576 0.750
7 Pu 0.667 0.333 0.000
8 Pu 0.333 0.667 0.000
9 Sm 0.500 0.500 0.500
10 Sm 0.164 0.836 0.500
11 Sm 0.836 0.164 0.500
12 Pr 0.000 0.000 0.000